A geometry-optimized CoPSeO2 structure. Source: Alexandria via LeMat-Bulk, functional PBE+U.

Unit cell a=3.563 b=3.563 c=5.975 alpha=90.00 beta=90.00 gamma=90.00
Space group P4/mmm (No. 123)
Asymmetric unit:
Co1 0.000 0.000 0.000
P1 0.000 0.000 0.500
Se1 0.500 0.500 0.500
O1 0.000 0.500 0.000

## Properties
- Total DFT energy (no corrections): -4.749 eV/atom